# 1
{
  "formula": "Ba2BAu2",
  "functional": "GGA-PBEsol",
  "state": "optimized geometry",
  "dos_at_fermi_per_ev_cell": 6.70,
  "space_group": "I4/mmm (139)",
  "final_energy_ev_per_atom": -3.684,
  "lattice": [[3.8054, 0.0000, 0.0000], [0.0000, 3.8054, 0.0000], [0.0000, 0.0000, 18.1744]],
  "species": ["Ba", "Ba", "Ba", "Ba", "B", "B", "Au", "Au", "Au", "Au"],
  "frac_coords": [[0.0000, 0.0000, 0.0959], [0.0000, 0.0000, 0.9041], [0.5000, 0.5000, 0.4041], [0.5000, 0.5000, 0.5959], [0.0000, 0.0000, 0.5000], [0.5000, 0.5000, 0.0000], [0.0000, 0.5000, 0.2500], [0.0000, 0.5000, 0.7500], [0.5000, 0.0000, 0.2500], [0.5000, 0.0000, 0.7500]]
}

# 2
{
  "formula": "LiPmHg2",
  "functional": "GGA-PBEsol",
  "state": "optimized geometry",
  "dos_at_fermi_per_ev_cell": 9.98,
  "space_group": "Fm-3m (225)",
  "final_energy_ev_per_atom": -2.590,
  "lattice": [[7.1079, 0.0000, 0.0000], [0.0000, 7.1079, 0.0000], [0.0000, 0.0000, 7.1079]],
  "species": ["Li", "Li", "Li", "Li", "Pm", "Pm", "Pm", "Pm", "Hg", "Hg", "Hg", "Hg", "Hg", "Hg", "Hg", "Hg"],
  "frac_coords": [[0.0000, 0.0000, 0.0000], [0.0000, 0.5000, 0.5000], [0.5000, 0.0000, 0.5000], [0.5000, 0.5000, 0.0000], [0.0000, 0.0000, 0.5000], [0.0000, 0.5000, 0.0000], [0.5000, 0.0000, 0.0000], [0.5000, 0.5000, 0.5000], [0.2500, 0.2500, 0.2500], [0.2500, 0.2500, 0.7500], [0.2500, 0.7500, 0.2500], [0.2500, 0.7500, 0.7500], [0.7500, 0.2500, 0.2500], [0.7500, 0.2500, 0.7500], [0.7500, 0.7500, 0.2500], [0.7500, 0.7500, 0.7500]]
}

# 3
{
  "formula": "TcAuC2Br",
  "functional": "GGA-PBEsol",
  "state": "optimized geometry",
  "raw_formation_energy_ev_per_atom": 2.56,
  "dos_at_fermi_per_ev_cell": 4.46,
  "space_group": "P4/mmm (123)",
  "final_energy_ev_per_atom": -4.713,
  "lattice": [[3.8651, 0.0000, 0.0000], [0.0000, 3.8651, 0.0000], [0.0000, 0.0000, 6.6650]],
  "species": ["Tc", "Au", "C", "C", "Br"],
  "frac_coords": [[0.0000, 0.0000, 0.0000], [0.5000, 0.5000, 0.5000], [0.0000, 0.5000, 0.5000], [0.5000, 0.0000, 0.5000], [0.5000, 0.5000, 0.0000]]
}